Computed, not measured: a relaxed structure of TbNb2H at the PBE level of DFT.

The structure in CIF format:
```
data_TbNb2H
_chemical_formula_sum 'Tb3 Nb6 H3'
_space_group_name_H-M_alt 'R -3 m'
_space_group_IT_number 166
_space_group_name_Hall '-R 3 2"'
_cell_length_a 3.0077
_cell_length_b 3.0077
_cell_length_c 25.9928
_cell_angle_alpha 90.00
_cell_angle_beta 90.00
_cell_angle_gamma 120.00
loop_
_atom_site_label
_atom_site_fract_x
_atom_site_fract_y
_atom_site_fract_z
_atom_site_occupancy
Tb1 0.0000 0.0000 0.0000 1
Nb1 0.0000 0.0000 0.1165 1
H1 0.0000 0.0000 0.5000 1
```

***

# Nb2TcH2 (PBE, relaxed)
data_Nb2TcH2
_chemical_formula_sum 'Nb4 Tc2 H4'
_space_group_name_H-M_alt 'P 4/m b m'
_space_group_IT_number 127
_space_group_name_Hall '-P 4 2ab'
_cell_length_a 6.086
_cell_length_b 6.086
_cell_length_c 3.053
_cell_angle_alpha 90.00
_cell_angle_beta 90.00
_cell_angle_gamma 90.00
loop_
_atom_site_label
_atom_site_fract_x
_atom_site_fract_y
_atom_site_fract_z
_atom_site_occupancy
Nb1 0.166 0.334 0.000 1
Tc1 0.000 0.000 0.500 1
H1 0.145 0.645 0.500 1
# * energy above the lowest structure with this stoichiometry: 386 meV/atom

***

# NbTc2H2 (PBE, relaxed)
data_NbTc2H2
_chemical_formula_sum 'Nb2 Tc4 H4'
_space_group_name_H-M_alt 'I 4/m m m'
_space_group_IT_number 139
_space_group_name_Hall '-I 4 2'
_cell_length_a 3.197
_cell_length_b 3.197
_cell_length_c 10.508
_cell_angle_alpha 90.00
_cell_angle_beta 90.00
_cell_angle_gamma 90.00
loop_
_atom_site_label
_atom_site_fract_x
_atom_site_fract_y
_atom_site_fract_z
_atom_site_occupancy
Nb1 0.000 0.000 0.000 1
Tc1 0.000 0.000 0.355 1
H1 0.000 0.500 0.250 1
# * energy above the lowest structure with this stoichiometry: 0 meV/atom

***

# Nb2TcH2 (PBE, relaxed)
data_Nb2TcH2
_chemical_formula_sum 'Nb4 Tc2 H4'
_space_group_name_H-M_alt 'I 4/m m m'
_space_group_IT_number 139
_space_group_name_Hall '-I 4 2'
_cell_length_a 3.109
_cell_length_b 3.109
_cell_length_c 11.806
_cell_angle_alpha 90.00
_cell_angle_beta 90.00
_cell_angle_gamma 90.00
loop_
_atom_site_label
_atom_site_fract_x
_atom_site_fract_y
_atom_site_fract_z
_atom_site_occupancy
Nb1 0.000 0.000 0.139 1
Tc1 0.000 0.000 0.500 1
H1 0.000 0.500 0.250 1
# * energy above the lowest structure with this stoichiometry: 0 meV/atom

***

# NbTcH2 (PBE, relaxed)
data_NbTcH2
_chemical_formula_sum 'Nb4 Tc4 H8'
_space_group_name_H-M_alt 'F m -3 m'
_space_group_IT_number 225
_space_group_name_Hall '-F 4 2 3'
_cell_length_a 5.377
_cell_length_b 5.377
_cell_length_c 5.377
_cell_angle_alpha 90.00
_cell_angle_beta 90.00
_cell_angle_gamma 90.00
loop_
_atom_site_label
_atom_site_fract_x
_atom_site_fract_y
_atom_site_fract_z
_atom_site_occupancy
Nb1 0.000 0.000 0.000 1
Tc1 0.000 0.000 0.500 1
H1 0.250 0.250 0.250 1
# * energy above the lowest structure with this stoichiometry: 512 meV/atom

***

# NbTcH2 (PBE, relaxed)
data_NbTcH2
_chemical_formula_sum 'Nb4 Tc4 H8'
_space_group_name_H-M_alt 'I -4 2 d'
_space_group_IT_number 122
_space_group_name_Hall 'I -4 2bw'
_cell_length_a 4.206
_cell_length_b 4.206
_cell_length_c 8.884
_cell_angle_alpha 90.00
_cell_angle_beta 90.00
_cell_angle_gamma 90.00
loop_
_atom_site_label
_atom_site_fract_x
_atom_site_fract_y
_atom_site_fract_z
_atom_site_occupancy
Nb1 0.000 0.000 0.000 1
Tc1 0.000 0.000 0.500 1
H1 0.224 0.250 0.625 1
# * energy above the lowest structure with this stoichiometry: 0 meV/atom

***

# NbTcH3 (PBE, relaxed)
data_NbTcH3
_chemical_formula_sum 'Nb1 Tc1 H3'
_space_group_name_H-M_alt 'P m -3 m'
_space_group_IT_number 221
_space_group_name_Hall '-P 4 2 3'
_cell_length_a 3.477
_cell_length_b 3.477
_cell_length_c 3.477
_cell_angle_alpha 90.00
_cell_angle_beta 90.00
_cell_angle_gamma 90.00
loop_
_atom_site_label
_atom_site_fract_x
_atom_site_fract_y
_atom_site_fract_z
_atom_site_occupancy
Nb1 0.000 0.000 0.000 1
Tc1 0.500 0.500 0.500 1
H1 0.000 0.500 0.500 1
# * energy above the lowest structure with this stoichiometry: 0 meV/atom

***

Computed, not measured: a relaxed structure of NbTcH at the PBE level of DFT.

The structure in CIF format:
```
data_NbTcH
_chemical_formula_sum 'Nb2 Tc2 H2'
_space_group_name_H-M_alt 'P m n 21'
_space_group_IT_number 31
_cell_length_a 3.091
_cell_length_b 6.532
_cell_length_c 3.841
_cell_angle_alpha 90.00
_cell_angle_beta 90.00
_cell_angle_gamma 90.00
loop_
_space_group_symop_operation_xyz
'x,y,z'
'-x+1/2,-y,z+1/2'
'-x,y,z'
'x+1/2,-y,z+1/2'
loop_
_atom_site_label
_atom_site_fract_x
_atom_site_fract_y
_atom_site_fract_z
_atom_site_occupancy
Nb1 0.000 0.147 0.000 1
Tc1 0.000 0.487 0.472 1
H1 0.000 0.867 0.181 1
```

***

# NbTcH2 (PBE, relaxed)
data_NbTcH2
_chemical_formula_sum 'Nb3 Tc3 H6'
_space_group_name_H-M_alt 'R -3 m'
_space_group_IT_number 166
_space_group_name_Hall '-R 3 2"'
_cell_length_a 2.9982
_cell_length_b 2.9982
_cell_length_c 15.1028
_cell_angle_alpha 90.00
_cell_angle_beta 90.00
_cell_angle_gamma 120.00
loop_
_atom_site_label
_atom_site_fract_x
_atom_site_fract_y
_atom_site_fract_z
_atom_site_occupancy
Nb1 0.0000 0.0000 0.0000 1
Tc1 0.0000 0.0000 0.5000 1
H1 0.0000 0.0000 0.1262 1
# * energy above the lowest structure with this stoichiometry: 95 meV/atom

***

# NbTcH3 (PBE, relaxed)
data_NbTcH3
_chemical_formula_sum 'Nb1 Tc1 H3'
_space_group_name_H-M_alt 'P m -3 m'
_space_group_IT_number 221
_space_group_name_Hall '-P 4 2 3'
_cell_length_a 3.527
_cell_length_b 3.527
_cell_length_c 3.527
_cell_angle_alpha 90.00
_cell_angle_beta 90.00
_cell_angle_gamma 90.00
loop_
_atom_site_label
_atom_site_fract_x
_atom_site_fract_y
_atom_site_fract_z
_atom_site_occupancy
Nb1 0.000 0.000 0.000 1
Tc1 0.500 0.500 0.500 1
H1 0.000 0.000 0.500 1
# * energy above the lowest structure with this stoichiometry: 308 meV/atom

***

Computed, not measured: a relaxed structure of NbTc3H4 at the PBE level of DFT.

The structure in CIF format:
```
data_NbTc3H4
_chemical_formula_sum 'Nb1 Tc3 H4'
_space_group_name_H-M_alt 'P m -3 m'
_space_group_IT_number 221
_space_group_name_Hall '-P 4 2 3'
_cell_length_a 4.094
_cell_length_b 4.094
_cell_length_c 4.094
_cell_angle_alpha 90.00
_cell_angle_beta 90.00
_cell_angle_gamma 90.00
loop_
_atom_site_label
_atom_site_fract_x
_atom_site_fract_y
_atom_site_fract_z
_atom_site_occupancy
Nb1 0.000 0.000 0.000 1
Tc1 0.000 0.500 0.500 1
H1 0.000 0.000 0.500 1
H2 0.500 0.500 0.500 1
```

***

# NbTc2H2 (PBE, relaxed)
data_NbTc2H2
_chemical_formula_sum 'Nb2 Tc4 H4'
_space_group_name_H-M_alt 'P 4/m b m'
_space_group_IT_number 127
_space_group_name_Hall '-P 4 2ab'
_cell_length_a 5.944
_cell_length_b 5.944
_cell_length_c 3.140
_cell_angle_alpha 90.00
_cell_angle_beta 90.00
_cell_angle_gamma 90.00
loop_
_atom_site_label
_atom_site_fract_x
_atom_site_fract_y
_atom_site_fract_z
_atom_site_occupancy
Nb1 0.000 0.000 0.000 1
Tc1 0.145 0.355 0.500 1
H1 0.231 0.731 0.000 1
# * energy above the lowest structure with this stoichiometry: 117 meV/atom

***

| no. | E (eV/f.u.) |
| --- | --- |
| 1 | -26.76 |
| 2 | -36.38 |
| 3 | -37.19 |
| 4 | -38.31 |
| 5 | -25.21 |
| 6 | -27.25 |
| 7 | -29.60 |
| 8 | -23.16 |
| 9 | -26.87 |
| 10 | -28.06 |
| 11 | -55.45 |
| 12 | -36.60 |